Entry from Alexandria: crystalline GaSiNi2Te at its relaxed geometry (PBE).

For the total energy, the calculation gives -3.65 eV/atom. The value obtained for the formation energy without anion corrections is 984 meV/atom. For the magnetic moment, the calculation gives 0.000 μB per formula unit.

The space group is P4/mmm (No. 123) and the conventional cell measures 4.6171, 4.6171 and 5.4701 Å, with angles of 90.00, 90.00 and 90.00 degrees. The inequivalent atoms are Ga at (0.0000, 0.0000, 0.0000), Si at (0.5000, 0.5000, 0.0000), Ni at (0.0000, 0.5000, 0.5000) and Te at (0.0000, 0.0000, 0.5000).